Pm6ThIn5 | PBE | relaxed

Values from the calculation:
The crystal system is orthorhombic. The energy relative to the elements comes out at -0.370 eV per atom. The density of states at the Fermi level comes out at 12.8 states/eV/cell. As for the space group: Immm.

CIF file:
```
data_Pm6ThIn5
_chemical_formula_sum 'Pm6 Th1 In5'
_symmetry_space_group_name_H-M 'P 1'
_symmetry_Int_Tables_number 1
_cell_length_a 9.2595
_cell_length_b 9.2595
_cell_length_c 9.2595
_cell_angle_alpha 148.07
_cell_angle_beta 122.03
_cell_angle_gamma 67.73
loop_
_symmetry_equiv_pos_as_xyz
'x,y,z'
loop_
_atom_site_label
_atom_site_type_symbol
_atom_site_fract_x
_atom_site_fract_y
_atom_site_fract_z
Pm1 Pm 0.0695 0.3302 0.7393
Pm2 Pm 0.2309 0.0000 0.2309
Pm3 Pm 0.4091 0.6698 0.7393
Pm4 Pm 0.5909 0.3302 0.2607
Pm5 Pm 0.7691 0.0000 0.7691
Pm6 Pm 0.9305 0.6698 0.2607
Th1 Th 0.5000 0.5000 0.0000
In1 In 0.0000 0.5000 0.5000
In2 In 0.1752 0.1752 0.0000
In3 In 0.3458 0.8458 0.5000
In4 In 0.6542 0.1542 0.5000
In5 In 0.8248 0.8248 0.0000
```

---

FeTcBr2 | PBE | relaxed

Values from the calculation:
Its energy above the most stable polymorph in this dataset is 0.0159 eV per atom. Its uncorrected formation energy is 169 meV/atom. The crystal system is trigonal. The density of states at the Fermi level comes out at 2.5 states/eV/cell. As for the space group: R3m.

CIF file:
```
data_FeTcBr2
_chemical_formula_sum 'Fe1 Tc1 Br2'
_symmetry_space_group_name_H-M 'P 1'
_symmetry_Int_Tables_number 1
_cell_length_a 8.5726
_cell_length_b 8.5726
_cell_length_c 8.5726
_cell_angle_alpha 23.79
_cell_angle_beta 23.79
_cell_angle_gamma 23.79
loop_
_symmetry_equiv_pos_as_xyz
'x,y,z'
loop_
_atom_site_label
_atom_site_type_symbol
_atom_site_fract_x
_atom_site_fract_y
_atom_site_fract_z
Fe1 Fe 0.0000 0.0000 0.0000
Tc1 Tc 0.7075 0.7075 0.7075
Br1 Br 0.2691 0.2691 0.2691
Br2 Br 0.4477 0.4477 0.4477
```

---

Cs8KRb2Au | PBE | relaxed

Values from the calculation:
The crystal system is triclinic. The energy relative to the elements comes out at -0.061 eV per atom. The density of states at the Fermi level comes out at 12.1 states/eV/cell. As for the space group: P-1.

CIF file:
```
data_Cs8KRb2Au
_chemical_formula_sum 'Cs8 K1 Rb2 Au1'
_symmetry_space_group_name_H-M 'P 1'
_symmetry_Int_Tables_number 1
_cell_length_a 9.2163
_cell_length_b 11.4719
_cell_length_c 11.8603
_cell_angle_alpha 106.84
_cell_angle_beta 105.75
_cell_angle_gamma 95.32
loop_
_symmetry_equiv_pos_as_xyz
'x,y,z'
loop_
_atom_site_label
_atom_site_type_symbol
_atom_site_fract_x
_atom_site_fract_y
_atom_site_fract_z
Cs1 Cs 0.0374 0.4250 0.1905
Cs2 Cs 0.1453 0.2289 0.5415
Cs3 Cs 0.2267 0.0632 0.9168
Cs4 Cs 0.3894 0.6791 0.6355
Cs5 Cs 0.6106 0.3209 0.3645
Cs6 Cs 0.7733 0.9368 0.0832
Cs7 Cs 0.8547 0.7711 0.4585
Cs8 Cs 0.9626 0.5750 0.8095
K1 K 0.5000 0.5000 0.0000
Rb1 Rb 0.3286 0.8591 0.2681
Rb2 Rb 0.6714 0.1409 0.7319
Au1 Au 0.0000 0.5000 0.5000
```

---

YSiTe2O | PBE | relaxed

Values from the calculation:
Its uncorrected formation energy is 858 meV/atom. The crystal system is tetragonal. The density of states at the Fermi level comes out at 12.8 states/eV/cell. As for the space group: P4/mmm.

CIF file:
```
data_YSiTe2O
_chemical_formula_sum 'Y1 Si1 Te2 O1'
_symmetry_space_group_name_H-M 'P 1'
_symmetry_Int_Tables_number 1
_cell_length_a 5.7303
_cell_length_b 5.7303
_cell_length_c 5.5543
_cell_angle_alpha 90.00
_cell_angle_beta 90.00
_cell_angle_gamma 90.00
loop_
_symmetry_equiv_pos_as_xyz
'x,y,z'
loop_
_atom_site_label
_atom_site_type_symbol
_atom_site_fract_x
_atom_site_fract_y
_atom_site_fract_z
Y1 Y 0.0000 0.0000 0.0000
Si1 Si 0.0000 0.0000 0.5000
Te1 Te 0.0000 0.5000 0.0000
Te2 Te 0.5000 0.0000 0.0000
O1 O 0.5000 0.5000 0.5000
```

---

BeWSe2 | PBE | relaxed

Values from the calculation:
Its uncorrected formation energy is 250 meV/atom. The crystal system is tetragonal. The density of states at the Fermi level comes out at 5.8 states/eV/cell. As for the space group: I-42d.

CIF file:
```
data_BeWSe2
_chemical_formula_sum 'Be2 W2 Se4'
_symmetry_space_group_name_H-M 'P 1'
_symmetry_Int_Tables_number 1
_cell_length_a 6.3880
_cell_length_b 6.3880
_cell_length_c 6.3880
_cell_angle_alpha 127.72
_cell_angle_beta 127.72
_cell_angle_gamma 77.08
loop_
_symmetry_equiv_pos_as_xyz
'x,y,z'
loop_
_atom_site_label
_atom_site_type_symbol
_atom_site_fract_x
_atom_site_fract_y
_atom_site_fract_z
Be1 Be 0.0000 0.0000 0.0000
Be2 Be 0.7500 0.2500 0.5000
W1 W 0.2500 0.7500 0.5000
W2 W 0.5000 0.5000 0.0000
Se1 Se 0.0826 0.6250 0.9576
Se2 Se 0.3750 0.3326 0.4576
Se3 Se 0.6674 0.1250 0.0424
Se4 Se 0.8750 0.9174 0.5424
```